A geometry-optimized Tb2SmBi3 structure. Source: the Alexandria database, functional PBE-GGA.

Values from the calculation:
Raw total energy in eV for the cell shown: -61.97

Unit cell a=4.515 b=6.382 c=13.548 alpha=90.00 beta=90.00 gamma=90.00
Space group Immm (No. 71)
Inequivalent atoms, fractional coordinates:
Tb1 0.000 0.000 0.166
Sm1 0.000 0.000 0.500
Bi1 0.000 0.500 0.169
Bi2 0.000 0.500 0.500

A geometry-optimized TbSm2Bi structure. Source: the Alexandria database, functional PBE-GGA.

Values from the calculation:
Raw total energy in eV for the cell shown: -55.66
Distance to the lowest polymorph of the same formula in meV/atom: 264

Unit cell a=4.0706 b=4.0706 c=29.3779 alpha=90.00 beta=90.00 gamma=120.00
Space group R-3m (No. 166, hexagonal axes)
Inequivalent atoms, fractional coordinates:
Tb1 0.0000 0.0000 0.0000
Sm1 0.0000 0.0000 0.2372
Bi1 0.0000 0.0000 0.5000

A geometry-optimized TbSm4Bi5 structure. Source: the Alexandria database, functional PBE-GGA.

Values from the calculation:
Raw total energy in eV for the cell shown: -104.16

Unit cell a=4.547 b=6.425 c=22.712 alpha=90.00 beta=90.00 gamma=90.00
Space group Immm (No. 71)
Inequivalent atoms, fractional coordinates:
Tb1 0.000 0.000 0.000
Sm1 0.000 0.000 0.199
Sm2 0.000 0.000 0.400
Bi1 0.000 0.500 0.000
Bi2 0.000 0.500 0.200
Bi3 0.000 0.500 0.402

A geometry-optimized Tb3Sm2Bi3 structure. Source: the Alexandria database, functional PBE-GGA.

Values from the calculation:
Raw total energy in eV for the cell shown: -81.51

Unit cell a=9.3087 b=9.3087 c=6.4381 alpha=90.00 beta=90.00 gamma=120.00
Space group P6_3/mcm (No. 193)
Inequivalent atoms, fractional coordinates:
Tb1 0.0000 0.2441 0.2500
Sm1 0.3333 0.6667 0.0000
Bi1 0.0000 0.3859 0.7500